The following is a PBE-GGA calculation of an optimized crystal structure of AcCd6Ag12, from Alexandria via LeMat-Bulk.

Formation energy from the elements, eV per atom: 0.028

a = 7.745 Å, b = 7.745 Å, c = 7.745 Å
α = 103.40°, β = 103.40°, γ = 103.40°
Positions (direct):
Ac1 0.000 0.000 0.000
Cd1 0.696 0.290 0.290
Cd2 0.290 0.290 0.696
Cd3 0.290 0.696 0.290
Cd4 0.710 0.710 0.304
Cd5 0.304 0.710 0.710
Cd6 0.710 0.304 0.710
Ag1 0.889 0.111 0.500
Ag2 0.887 0.635 0.635
Ag3 0.635 0.635 0.887
Ag4 0.365 0.113 0.365
Ag5 0.365 0.365 0.113
Ag6 0.113 0.365 0.365
Ag7 0.111 0.500 0.889
Ag8 0.500 0.889 0.111
Ag9 0.111 0.889 0.500
Ag10 0.889 0.500 0.111
Ag11 0.500 0.111 0.889
Ag12 0.635 0.887 0.635

---

The following is a PBE-GGA calculation of an optimized crystal structure of Ac3Cd2Ag3, from Alexandria via LeMat-Bulk.

Polymorph energy (0 for the lowest one), meV/atom: 0
Formation energy from the elements, eV per atom: -0.291

a = 4.959 Å, b = 6.425 Å, c = 15.896 Å
α = 90.00°, β = 90.00°, γ = 112.70°
Positions (direct):
Ac1 0.913 0.825 0.394
Ac2 0.087 0.175 0.894
Ac3 0.913 0.825 0.106
Ac4 0.087 0.175 0.606
Ac5 0.630 0.260 0.250
Ac6 0.370 0.740 0.750
Cd1 0.793 0.585 0.904
Cd2 0.207 0.415 0.404
Cd3 0.793 0.585 0.596
Cd4 0.207 0.415 0.096
Ag1 0.608 0.216 0.459
Ag2 0.392 0.784 0.959
Ag3 0.608 0.216 0.041
Ag4 0.392 0.784 0.541
Ag5 0.344 0.689 0.250
Ag6 0.656 0.311 0.750

---

The following is a PBE-GGA calculation of an optimized crystal structure of Ac2Cd3Ag4, from Alexandria via LeMat-Bulk.

Polymorph energy (0 for the lowest one), meV/atom: 0
Formation energy from the elements, eV per atom: -0.241

a = 5.729 Å, b = 5.862 Å, c = 8.165 Å
α = 80.13°, β = 69.46°, γ = 60.75°
Positions (direct):
Ac1 0.642 0.000 0.717
Ac2 0.358 0.000 0.283
Cd1 0.000 0.500 0.000
Cd2 0.000 0.000 0.000
Cd3 0.500 0.500 0.000
Ag1 0.999 0.659 0.344
Ag2 0.657 0.341 0.344
Ag3 0.001 0.341 0.656
Ag4 0.343 0.659 0.656

---

The following is a PBE-GGA calculation of an optimized crystal structure of AcCd3Ag, from Alexandria via LeMat-Bulk.

Polymorph energy (0 for the lowest one), meV/atom: 0
Formation energy from the elements, eV per atom: -0.251

a = 6.481 Å, b = 7.103 Å, c = 6.455 Å
α = 117.02°, β = 90.00°, γ = 90.00°
Positions (direct):
Ac1 0.250 0.502 0.751
Ac2 0.750 0.498 0.249
Cd1 0.500 0.000 0.261
Cd2 0.500 0.000 0.739
Cd3 0.000 0.000 0.261
Cd4 0.000 0.000 0.739
Cd5 0.250 0.274 0.137
Cd6 0.750 0.726 0.863
Ag1 0.250 0.711 0.355
Ag2 0.750 0.289 0.645

---

The following is a PBE-GGA calculation of an optimized crystal structure of Ac2Cd9Ag6, from Alexandria via LeMat-Bulk.

Formation energy from the elements, eV per atom: -0.112

a = 5.930 Å, b = 5.930 Å, c = 14.232 Å
α = 90.00°, β = 90.00°, γ = 120.00°
Positions (direct):
Ac1 0.000 0.000 0.660
Ac2 0.000 0.000 0.340
Cd1 0.500 0.000 0.837
Cd2 0.000 0.500 0.837
Cd3 0.500 0.500 0.837
Cd4 0.500 0.000 0.163
Cd5 0.000 0.500 0.163
Cd6 0.500 0.500 0.163
Cd7 0.500 0.000 0.500
Cd8 0.000 0.500 0.500
Cd9 0.500 0.500 0.500
Ag1 0.333 0.667 0.000
Ag2 0.667 0.333 0.000
Ag3 0.333 0.667 0.670
Ag4 0.667 0.333 0.670
Ag5 0.667 0.333 0.330
Ag6 0.333 0.667 0.330

---

The following is a PBE-GGA calculation of an optimized crystal structure of AcCd6Ag3, from Alexandria via LeMat-Bulk.

Formation energy from the elements, eV per atom: -0.145

a = 4.694 Å, b = 8.618 Å, c = 11.675 Å
α = 80.80°, β = 90.00°, γ = 90.00°
Positions (direct):
Ac1 0.750 0.055 0.756
Ac2 0.250 0.945 0.244
Cd1 0.750 0.401 0.541
Cd2 0.250 0.599 0.459
Cd3 0.750 0.734 0.014
Cd4 0.250 0.266 0.986
Cd5 0.750 0.327 0.155
Cd6 0.250 0.673 0.845
Cd7 0.750 0.612 0.269
Cd8 0.250 0.388 0.731
Cd9 0.750 0.130 0.411
Cd10 0.250 0.870 0.589
Cd11 0.750 0.658 0.685
Cd12 0.250 0.342 0.315
Ag1 0.750 0.439 0.895
Ag2 0.250 0.561 0.105
Ag3 0.750 0.801 0.446
Ag4 0.250 0.199 0.554
Ag5 0.750 0.071 0.036
Ag6 0.250 0.929 0.964

---

The following is a PBE-GGA calculation of an optimized crystal structure of Ac2Cd12Ag7, from Alexandria via LeMat-Bulk.

Formation energy from the elements, eV per atom: -0.148

a = 4.622 Å, b = 11.020 Å, c = 11.020 Å
α = 120.00°, β = 90.00°, γ = 90.00°
Positions (direct):
Ac1 0.500 0.000 0.000
Ac2 0.000 0.667 0.333
Cd1 0.500 0.938 0.624
Cd2 0.500 0.685 0.062
Cd3 0.500 0.376 0.315
Cd4 0.500 0.253 0.782
Cd5 0.500 0.529 0.747
Cd6 0.500 0.218 0.471
Cd7 0.000 0.040 0.510
Cd8 0.000 0.470 0.960
Cd9 0.000 0.490 0.530
Cd10 0.000 0.819 0.719
Cd11 0.000 0.900 0.181
Cd12 0.000 0.281 0.100
Ag1 0.000 0.333 0.667
Ag2 0.000 0.110 0.808
Ag3 0.000 0.699 0.890
Ag4 0.000 0.192 0.301
Ag5 0.500 0.657 0.563
Ag6 0.500 0.906 0.343
Ag7 0.500 0.437 0.094

---

The following is a PBE-GGA calculation of an optimized crystal structure of Ac2Cd3Ag5, from Alexandria via LeMat-Bulk.

Polymorph energy (0 for the lowest one), meV/atom: 17
Formation energy from the elements, eV per atom: -0.193

a = 8.263 Å, b = 9.023 Å, c = 9.023 Å
α = 65.44°, β = 62.75°, γ = 62.75°
Positions (direct):
Ac1 0.128 0.619 0.125
Ac2 0.628 0.125 0.619
Ac3 0.872 0.381 0.875
Ac4 0.372 0.875 0.381
Cd1 0.376 0.513 0.736
Cd2 0.876 0.736 0.513
Cd3 0.624 0.487 0.264
Cd4 0.124 0.264 0.487
Cd5 0.250 0.000 0.000
Cd6 0.750 0.000 0.000
Ag1 0.375 0.231 0.018
Ag2 0.875 0.018 0.231
Ag3 0.625 0.769 0.982
Ag4 0.125 0.982 0.769
Ag5 0.500 0.750 0.750
Ag6 0.500 0.250 0.250
Ag7 0.750 0.500 0.500
Ag8 0.250 0.500 0.500
Ag9 0.000 0.250 0.250
Ag10 0.000 0.750 0.750

---

The following is a PBE-GGA calculation of an optimized crystal structure of Ac2CdAg9, from Alexandria via LeMat-Bulk.

Formation energy from the elements, eV per atom: -0.063

a = 5.811 Å, b = 5.811 Å, c = 9.954 Å
α = 73.03°, β = 73.03°, γ = 60.00°
Positions (direct):
Ac1 0.866 0.866 0.403
Ac2 0.134 0.134 0.597
Cd1 0.000 0.000 0.000
Ag1 0.667 0.667 0.000
Ag2 0.333 0.333 0.000
Ag3 0.500 0.500 0.500
Ag4 0.417 0.417 0.245
Ag5 0.921 0.417 0.245
Ag6 0.417 0.921 0.245
Ag7 0.583 0.583 0.755
Ag8 0.583 0.079 0.755
Ag9 0.079 0.583 0.755

---

The following is a PBE-GGA calculation of an optimized crystal structure of AcCd4Ag8, from Alexandria via LeMat-Bulk.

Formation energy from the elements, eV per atom: -0.096

a = 5.698 Å, b = 7.513 Å, c = 7.513 Å
α = 81.73°, β = 67.71°, γ = 67.71°
Positions (direct):
Ac1 0.000 0.000 0.000
Cd1 0.000 0.000 0.500
Cd2 0.500 0.000 0.500
Cd3 0.000 0.500 0.000
Cd4 0.500 0.500 0.000
Ag1 0.000 0.353 0.647
Ag2 0.000 0.647 0.353
Ag3 0.353 0.647 0.647
Ag4 0.647 0.353 0.353
Ag5 0.500 0.783 0.217
Ag6 0.500 0.217 0.783
Ag7 0.283 0.217 0.217
Ag8 0.717 0.783 0.783

---

The following is a PBE-GGA calculation of an optimized crystal structure of AcCd6Ag4, from Alexandria via LeMat-Bulk.

Polymorph energy (0 for the lowest one), meV/atom: 0
Formation energy from the elements, eV per atom: -0.143

a = 4.557 Å, b = 8.017 Å, c = 8.017 Å
α = 120.00°, β = 90.00°, γ = 90.00°
Positions (direct):
Ac1 0.000 0.000 0.000
Cd1 0.000 0.536 0.072
Cd2 0.500 0.594 0.797
Cd3 0.000 0.536 0.464
Cd4 0.000 0.928 0.464
Cd5 0.500 0.203 0.797
Cd6 0.500 0.203 0.406
Ag1 0.500 0.796 0.593
Ag2 0.500 0.407 0.204
Ag3 0.500 0.796 0.204
Ag4 0.000 0.333 0.667

---

The following is a PBE-GGA calculation of an optimized crystal structure of AcCd11Ag, from Alexandria via LeMat-Bulk.

Formation energy from the elements, eV per atom: -0.146

a = 5.940 Å, b = 7.723 Å, c = 7.742 Å
α = 81.57°, β = 67.44°, γ = 67.53°
Positions (direct):
Ac1 0.000 0.000 0.000
Cd1 0.287 0.220 0.216
Cd2 0.713 0.780 0.784
Cd3 0.497 0.780 0.216
Cd4 0.503 0.220 0.784
Cd5 0.361 0.643 0.649
Cd6 0.639 0.357 0.351
Cd7 0.990 0.357 0.649
Cd8 0.010 0.643 0.351
Cd9 0.000 0.500 0.000
Cd10 0.500 0.000 0.500
Cd11 0.000 0.000 0.500
Ag1 0.500 0.500 0.000

---

The following is a PBE-GGA calculation of an optimized crystal structure of Ac3Cd2Ag, from Alexandria via LeMat-Bulk.

Formation energy from the elements, eV per atom: -0.284

a = 4.043 Å, b = 4.043 Å, c = 12.106 Å
α = 90.00°, β = 90.00°, γ = 90.00°
Positions (direct):
Ac1 0.000 0.000 0.000
Ac2 0.000 0.000 0.660
Ac3 0.000 0.000 0.340
Cd1 0.500 0.500 0.833
Cd2 0.500 0.500 0.167
Ag1 0.500 0.500 0.500

---

The following is a PBE-GGA calculation of an optimized crystal structure of Ac4CdAg2, from Alexandria via LeMat-Bulk.

Polymorph energy (0 for the lowest one), meV/atom: 14
Formation energy from the elements, eV per atom: -0.123

a = 8.626 Å, b = 8.626 Å, c = 8.626 Å
α = 108.44°, β = 111.55°, γ = 108.44°
Positions (direct):
Ac1 0.134 0.891 0.378
Ac2 0.622 0.756 0.513
Ac3 0.993 0.609 0.737
Ac4 0.263 0.256 0.872
Ac5 0.616 0.744 0.007
Ac6 0.757 0.244 0.866
Ac7 0.487 0.109 0.243
Ac8 0.128 0.391 0.384
Cd1 0.000 0.000 0.000
Cd2 0.750 0.500 0.250
Ag1 0.875 0.117 0.492
Ag2 0.508 0.383 0.625
Ag3 0.375 0.883 0.758
Ag4 0.242 0.617 0.125

---

The following is a PBE-GGA calculation of an optimized crystal structure of AcCdCuAg, from Alexandria via LeMat-Bulk.

Formation energy from the elements, eV per atom: -0.127

a = 5.153 Å, b = 5.153 Å, c = 5.153 Å
α = 60.00°, β = 60.00°, γ = 60.00°
Positions (direct):
Ac1 0.250 0.250 0.250
Cu1 0.000 0.000 0.000
Ag1 0.500 0.500 0.500
Cd1 0.750 0.750 0.750

---

The following is a PBE-GGA calculation of an optimized crystal structure of Ac2DyCd12Ag3, from Alexandria via LeMat-Bulk.

Formation energy from the elements, eV per atom: -0.028

a = 11.489 Å, b = 11.489 Å, c = 11.489 Å
α = 36.73°, β = 36.73°, γ = 36.73°
Positions (direct):
Ac1 0.642 0.642 0.642
Ac2 0.358 0.358 0.358
Dy1 0.000 0.000 0.000
Cd1 0.317 0.317 0.723
Cd2 0.875 0.875 0.448
Cd3 0.448 0.875 0.875
Cd4 0.723 0.317 0.317
Cd5 0.875 0.448 0.875
Cd6 0.317 0.723 0.317
Cd7 0.683 0.683 0.277
Cd8 0.125 0.125 0.552
Cd9 0.552 0.125 0.125
Cd10 0.277 0.683 0.683
Cd11 0.125 0.552 0.125
Cd12 0.683 0.277 0.683
Ag1 0.500 0.000 0.000
Ag2 0.000 0.500 0.000
Ag3 0.000 0.000 0.500

---

The following is a PBE-GGA calculation of an optimized crystal structure of AcErCdAg, from Alexandria via LeMat-Bulk.

Polymorph energy (0 for the lowest one), meV/atom: 43
Formation energy from the elements, eV per atom: -0.237

a = 5.453 Å, b = 5.453 Å, c = 5.453 Å
α = 60.00°, β = 60.00°, γ = 60.00°
Positions (direct):
Ac1 0.000 0.000 0.000
Cd1 0.750 0.750 0.750
Ag1 0.250 0.250 0.250
Er1 0.500 0.500 0.500

---

The following is a PBE-GGA calculation of an optimized crystal structure of AcErCdAg, from Alexandria via LeMat-Bulk.

Polymorph energy (0 for the lowest one), meV/atom: 0
Formation energy from the elements, eV per atom: -0.280

a = 3.799 Å, b = 3.799 Å, c = 7.808 Å
α = 90.00°, β = 90.00°, γ = 90.00°
Positions (direct):
Ac1 0.500 0.500 0.112
Er1 0.500 0.500 0.595
Cd1 0.000 0.000 0.821
Ag1 0.000 0.000 0.399

---

The following is a PBE-GGA calculation of an optimized crystal structure of AcEuCdAg, from Alexandria via LeMat-Bulk.

Formation energy from the elements, eV per atom: -0.293

a = 5.595 Å, b = 5.595 Å, c = 5.595 Å
α = 60.00°, β = 60.00°, γ = 60.00°
Each line ends with the local moment (μB).
Positions (direct):
Eu1 0.500 0.500 0.500  6.88
Ac1 0.000 0.000 0.000  0.04
Ag1 0.250 0.250 0.250  0.01
Cd1 0.750 0.750 0.750  0.01

---

The following is a PBE-GGA calculation of an optimized crystal structure of AcCdAgF6, from Alexandria via LeMat-Bulk.

Formation energy without anion corrections, eV/f.u.: -24.8

a = 5.413 Å, b = 5.989 Å, c = 5.989 Å
α = 120.00°, β = 90.00°, γ = 90.00°
Each line ends with the local moment (μB).
Positions (direct):
Ac1 0.000 0.333 0.667  0.00
Cd1 0.500 0.000 0.000  0.00
Ag1 0.500 0.667 0.333  0.11
F1 0.736 0.677 0.696  0.00
F2 0.736 0.304 0.981  0.00
F3 0.736 0.019 0.323  0.00
F4 0.264 0.304 0.323  0.00
F5 0.264 0.677 0.981  0.00
F6 0.264 0.019 0.696  0.00

---

The D(E_F) results, record by record, are as follows: 0.368 0.823 0.488 0.631 0.452 0.468 0.396 0.485 0.472 0.444 0.516 0.410 1.044 1.362 0.994 0.571 0.550 0.892 2.467 0.000 states/eV/atom.
The uncorrected energy results, record by record, are as follows: -2.278 -3.129 -2.727 -2.192 -2.086 -1.961 -2.012 -2.715 -2.962 -2.448 -2.053 -1.455 -3.118 -3.416 -3.120 -1.825 -3.347 -3.389 -4.831 -4.883 eV/atom.